# LaSmY4

An optimized crystal structure of LaSmY4 (PBE, Alexandria via LeMat-Bulk).

abc: 6.5200 9.2516 8.6757
angles: 112.83 99.77 112.73
Sites, in units of the cell vectors:
La  0.3340  0.5840  0.1680
La  0.6660  0.4160  0.8320
Y  0.1952  0.5746  0.7370
Y  0.7469  0.7132  0.6110
Y  0.3641  0.8978  0.6110
Y  0.2531  0.2868  0.3890
Y  0.6359  0.1022  0.3890
Y  0.9582  0.8376  0.2630
Y  0.0418  0.1624  0.7370
Y  0.8048  0.4254  0.2630
Sm  0.7514  0.0014  0.0028
Sm  0.2486  0.9986  0.9972

Results
V in Å³/atom: 34.4
Calculated formation energy in eV per atom: 0.14
E_tot in eV/atom: -5.78
E above lowest polymorph in meV/atom: 118